Record 1
Here is a relaxed AcLaSm2Er crystal from Alexandria. Energies are from PBE.

Geometry as POSCAR:
```
AcLaSm2Er
1.0
8.2410 0.0000 0.0000
0.0000 5.2609 0.0000
-0.0513 0.0000 8.2764
Ac La Sm Er
2 2 4 2
Direct
0.0514 0.2500 0.1541 Ac
0.9486 0.7500 0.8459 Ac
0.2571 0.2500 0.7444 La
0.7429 0.7500 0.2556 La
0.1579 0.7500 0.4471 Sm
0.4544 0.2500 0.3461 Sm
0.5456 0.7500 0.6539 Sm
0.8421 0.2500 0.5529 Sm
0.3579 0.7500 0.0485 Er
0.6421 0.2500 0.9515 Er
```

Computed properties:
formation energy from the elements = 0.04 eV per atom

---

Record 2
Here is a relaxed AcLaSm3Er crystal from Alexandria. Energies are from PBE.

Geometry as POSCAR:
```
AcLaSm3Er
1.0
10.3182 -2.9297 0.0000
10.3182 2.9297 0.0000
-0.1100 0.0000 7.1784
Ac La Sm Er
2 2 6 2
Direct
0.1472 0.1472 0.0287 Ac
0.8528 0.8528 0.9713 Ac
0.4463 0.4463 0.7208 La
0.5537 0.5537 0.2792 La
0.0179 0.0179 0.7371 Sm
0.2820 0.2820 0.7384 Sm
0.3346 0.3346 0.2665 Sm
0.6654 0.6654 0.7335 Sm
0.7180 0.7180 0.2616 Sm
0.9821 0.9821 0.2629 Sm
0.1472 0.1472 0.4821 Er
0.8528 0.8528 0.5179 Er
```

Computed properties:
formation energy from the elements = 0.19 eV per atom

---

Record 3
Here is a relaxed AcLa2Sm2Er2 crystal from Alexandria. Energies are from PBE.

Geometry as POSCAR:
```
AcLa2Sm2Er2
1.0
11.7006 0.0000 0.0000
0.0000 5.2394 0.0000
-1.1702 0.0000 8.0640
Ac La Sm Er
2 4 4 4
Direct
0.0000 0.0000 0.0000 Ac
0.5000 0.5000 0.0000 Ac
0.2149 0.5000 0.1519 La
0.2851 0.0000 0.8481 La
0.7149 0.0000 0.1519 La
0.7851 0.5000 0.8481 La
0.0746 0.5000 0.7045 Sm
0.4254 0.0000 0.2955 Sm
0.5746 0.0000 0.7045 Sm
0.9254 0.5000 0.2955 Sm
0.1417 0.0000 0.4327 Er
0.3583 0.5000 0.5673 Er
0.6417 0.5000 0.4327 Er
0.8583 0.0000 0.5673 Er
```

Computed properties:
formation energy from the elements = 0.04 eV per atom

---

Record 4
Here is a relaxed AcLa2Sm4Er crystal from Alexandria. Energies are from PBE.

Geometry as POSCAR:
```
AcLa2Sm4Er
1.0
5.2120 0.0000 0.0000
0.0000 5.2375 0.0000
0.0000 0.0000 10.4166
Ac La Sm Er
1 2 4 1
Direct
0.0000 0.0000 0.0000 Ac
0.0000 0.0000 0.5000 La
0.5000 0.5000 0.0000 La
0.0000 0.5000 0.2574 Sm
0.0000 0.5000 0.7426 Sm
0.5000 0.0000 0.2572 Sm
0.5000 0.0000 0.7428 Sm
0.5000 0.5000 0.5000 Er
```

Computed properties:
formation energy from the elements = 0.03 eV per atom

---

What is the formation energy from the elements in the fourth record?
0.03 eV per atom

---

Number 4 is which compound?
AcLa2Sm4Er

---

What is the formation energy from the elements in the third record?
0.04 eV per atom